a) Material: KPuAs2
Method: DFT, GGA-PBE
State: relaxed

Output
Theoretical density, g cm⁻³: 5.9

a = 4.282 Å, b = 4.282 Å, c = 23.087 Å
α = 90.00°, β = 90.00°, γ = 120.00°
Atoms (fractional coordinates):
K 0.000 0.000 0.000
K 0.333 0.667 0.667
K 0.667 0.333 0.333
Pu 0.000 0.000 0.171
Pu 0.333 0.667 0.837
Pu 0.667 0.333 0.504
As 0.000 0.000 0.564
As 0.000 0.000 0.776
As 0.333 0.667 0.231
As 0.333 0.667 0.443
As 0.667 0.333 0.109
As 0.667 0.333 0.898



b) Material: KPuAs2
Method: DFT, GGA-PBE
State: relaxed

Output
Theoretical density, g cm⁻³: 5.9

a = 4.313 Å, b = 4.313 Å, c = 22.559 Å
α = 90.00°, β = 90.00°, γ = 120.00°
Atoms (fractional coordinates):
K 0.000 0.000 0.000
K 0.333 0.667 0.667
K 0.667 0.333 0.333
Pu 0.000 0.000 0.500
Pu 0.333 0.667 0.167
Pu 0.667 0.333 0.833
As 0.000 0.000 0.227
As 0.000 0.000 0.773
As 0.333 0.667 0.439
As 0.333 0.667 0.894
As 0.667 0.333 0.106
As 0.667 0.333 0.561



Stability, lowest: a)



a) Material: KRb2As2
Method: DFT, GGA-PBE
State: relaxed

Output
Theoretical density, g cm⁻³: 3.0

a = 5.396 Å, b = 5.396 Å, c = 13.861 Å
α = 90.00°, β = 90.00°, γ = 90.00°
Atoms (fractional coordinates):
K 0.000 0.000 0.000
K 0.500 0.500 0.500
Rb 0.000 0.500 0.250
Rb 0.000 0.500 0.750
Rb 0.500 0.000 0.250
Rb 0.500 0.000 0.750
As 0.000 0.000 0.413
As 0.000 0.000 0.587
As 0.500 0.500 0.087
As 0.500 0.500 0.913



b) Material: KRb2As2
Method: DFT, GGA-PBE
State: relaxed

Output
Theoretical density, g cm⁻³: 3.1

a = 8.537 Å, b = 8.537 Å, c = 5.372 Å
α = 90.00°, β = 90.00°, γ = 90.00°
Atoms (fractional coordinates):
K 0.000 0.000 0.000
K 0.500 0.500 0.000
Rb 0.169 0.331 0.500
Rb 0.331 0.831 0.500
Rb 0.669 0.169 0.500
Rb 0.831 0.669 0.500
As 0.101 0.601 0.000
As 0.399 0.101 0.000
As 0.601 0.899 0.000
As 0.899 0.399 0.000



c) Material: KRb2As2
Method: DFT, GGA-PBE
State: relaxed

Output
Theoretical density, g cm⁻³: 2.8

a = 5.932 Å, b = 5.932 Å, c = 12.170 Å
α = 90.00°, β = 90.00°, γ = 90.00°
Atoms (fractional coordinates):
K 0.000 0.000 0.000
K 0.500 0.500 0.500
Rb 0.000 0.000 0.364
Rb 0.000 0.000 0.636
Rb 0.500 0.500 0.136
Rb 0.500 0.500 0.864
As 0.000 0.500 0.250
As 0.000 0.500 0.750
As 0.500 0.000 0.250
As 0.500 0.000 0.750



d) Material: KRb2As2
Method: DFT, GGA-PBE
State: relaxed

Output
Theoretical density, g cm⁻³: 3.1

a = 6.984 Å, b = 6.984 Å, c = 9.633 Å
α = 101.15°, β = 101.15°, γ = 58.70°
Atoms (fractional coordinates):
K 0.110 0.890 0.750
K 0.890 0.110 0.250
Rb 0.196 0.501 0.354
Rb 0.499 0.804 0.146
Rb 0.501 0.196 0.854
Rb 0.804 0.499 0.646
As 0.010 0.668 0.996
As 0.332 0.990 0.504
As 0.668 0.010 0.496
As 0.990 0.332 0.004



Stability, lowest: c)



a) Material: K2Rb2As
Method: DFT, GGA-PBE
State: relaxed

Output
Theoretical density, g cm⁻³: 2.0

a = 8.185 Å, b = 10.215 Å, c = 6.334 Å
α = 90.00°, β = 90.00°, γ = 90.00°
Atoms (fractional coordinates):
K 0.158 0.186 0.000
K 0.342 0.686 0.000
K 0.658 0.314 0.000
K 0.842 0.814 0.000
Rb 0.206 0.425 0.500
Rb 0.294 0.925 0.500
Rb 0.706 0.075 0.500
Rb 0.794 0.575 0.500
As 0.000 0.500 0.000
As 0.500 0.000 0.000



b) Material: K2Rb2As
Method: DFT, GGA-PBE
State: relaxed

Output
Theoretical density, g cm⁻³: 2.1

a = 8.697 Å, b = 8.697 Å, c = 6.833 Å
α = 90.00°, β = 90.00°, γ = 90.00°
Atoms (fractional coordinates):
K 0.159 0.341 0.000
K 0.341 0.841 0.000
K 0.659 0.159 0.000
K 0.841 0.659 0.000
Rb 0.205 0.705 0.500
Rb 0.295 0.205 0.500
Rb 0.705 0.795 0.500
Rb 0.795 0.295 0.500
As 0.000 0.000 0.000
As 0.500 0.500 0.000



Stability, lowest: b)



a) Material: KRb3As
Method: DFT, GGA-PBE
State: relaxed

Output
Theoretical density, g cm⁻³: 1.6

a = 7.288 Å, b = 7.288 Å, c = 7.288 Å
α = 90.00°, β = 90.00°, γ = 90.00°
Atoms (fractional coordinates):
K 0.000 0.000 0.000
Rb 0.000 0.000 0.500
Rb 0.000 0.500 0.000
Rb 0.500 0.000 0.000
As 0.500 0.500 0.500



b) Material: KRb3As
Method: DFT, GGA-PBE
State: relaxed

Output
Theoretical density, g cm⁻³: 1.9

a = 6.926 Å, b = 6.926 Å, c = 6.926 Å
α = 90.00°, β = 90.00°, γ = 90.00°
Atoms (fractional coordinates):
K 0.000 0.000 0.000
Rb 0.000 0.500 0.500
Rb 0.500 0.000 0.500
Rb 0.500 0.500 0.000
As 0.500 0.500 0.500



Stability, lowest: a)



a) Material: KRbAsS2
Method: DFT, GGA-PBE
State: relaxed

Output
Theoretical density, g cm⁻³: 2.4

a = 7.875 Å, b = 5.387 Å, c = 8.767 Å
α = 90.00°, β = 103.06°, γ = 90.00°
Atoms (fractional coordinates):
K 0.000 0.013 0.250
K 0.000 0.987 0.750
Rb 0.500 0.270 0.750
Rb 0.500 0.730 0.250
As 0.000 0.500 0.000
As 0.000 0.500 0.500
S 0.251 0.244 0.045
S 0.251 0.756 0.545
S 0.749 0.244 0.455
S 0.749 0.756 0.955



b) Material: KRbAsS2
Method: DFT, GGA-PBE
State: relaxed

Output
Theoretical density, g cm⁻³: 2.0

a = 5.923 Å, b = 5.923 Å, c = 6.269 Å
α = 90.00°, β = 90.00°, γ = 90.00°
Atoms (fractional coordinates):
K 0.000 0.000 0.000
Rb 0.500 0.500 0.500
As 0.000 0.000 0.500
S 0.000 0.500 0.000
S 0.500 0.000 0.000



Stability, lowest: b)



a) Material: KReAs2Se
Method: DFT, GGA-PBE
State: relaxed

Output
Theoretical density, g cm⁻³: 5.7

a = 5.065 Å, b = 5.065 Å, c = 5.192 Å
α = 90.00°, β = 90.00°, γ = 90.00°
Atoms (fractional coordinates):
K 0.000 0.000 0.000
Re 0.500 0.500 0.500
As 0.000 0.500 0.000
As 0.500 0.000 0.000
Se 0.000 0.000 0.500



b) Material: KReAs2Se
Method: DFT, GGA-PBE
State: relaxed

Output
Theoretical density, g cm⁻³: 5.9

a = 4.783 Å, b = 4.783 Å, c = 5.620 Å
α = 90.00°, β = 90.00°, γ = 90.00°
Atoms (fractional coordinates):
K 0.000 0.000 0.000
Re 0.500 0.500 0.500
As 0.000 0.500 0.500
As 0.500 0.000 0.500
Se 0.500 0.500 0.000



Stability, lowest: a)



a) Material: KReAsSe2
Method: DFT, GGA-PBE
State: relaxed

Output
Theoretical density, g cm⁻³: 5.5

a = 5.241 Å, b = 5.241 Å, c = 5.078 Å
α = 90.00°, β = 90.00°, γ = 90.00°
Atoms (fractional coordinates):
K 0.000 0.000 0.000
Re 0.500 0.500 0.500
As 0.000 0.000 0.500
Se 0.000 0.500 0.000
Se 0.500 0.000 0.000



b) Material: KReAsSe2
Method: DFT, GGA-PBE
State: relaxed

Output
Theoretical density, g cm⁻³: 6.0

a = 5.135 Å, b = 5.135 Å, c = 4.802 Å
α = 90.00°, β = 90.00°, γ = 90.00°
Atoms (fractional coordinates):
K 0.000 0.000 0.000
Re 0.500 0.500 0.500
As 0.500 0.500 0.000
Se 0.000 0.500 0.500
Se 0.500 0.000 0.500



Stability, lowest: a)



a) Material: KAs2Rh
Method: DFT, GGA-PBE
State: relaxed

Output
Theoretical density, g cm⁻³: 6.1

a = 6.818 Å, b = 6.818 Å, c = 6.818 Å
α = 90.00°, β = 90.00°, γ = 90.00°
Atoms (fractional coordinates):
K 0.000 0.000 0.000
K 0.000 0.500 0.500
K 0.500 0.000 0.500
K 0.500 0.500 0.000
As 0.000 0.000 0.500
As 0.000 0.500 0.000
As 0.250 0.250 0.750
As 0.250 0.750 0.250
As 0.500 0.000 0.000
As 0.500 0.500 0.500
As 0.750 0.250 0.250
As 0.750 0.750 0.750
Rh 0.250 0.250 0.250
Rh 0.250 0.750 0.750
Rh 0.750 0.250 0.750
Rh 0.750 0.750 0.250



b) Material: KAs2Rh
Method: DFT, GGA-PBE
State: relaxed

Output
Theoretical density, g cm⁻³: 4.6

a = 4.105 Å, b = 4.105 Å, c = 12.543 Å
α = 90.00°, β = 90.00°, γ = 90.00°
Atoms (fractional coordinates):
K 0.000 0.000 0.000
K 0.500 0.500 0.500
As 0.000 0.000 0.343
As 0.000 0.000 0.657
As 0.500 0.500 0.157
As 0.500 0.500 0.843
Rh 0.000 0.500 0.750
Rh 0.500 0.000 0.250



c) Material: KAs2Rh
Method: DFT, GGA-PBE
State: relaxed

Output
Theoretical density, g cm⁻³: 6.2

a = 4.274 Å, b = 4.274 Å, c = 4.287 Å
α = 90.00°, β = 90.00°, γ = 90.00°
Atoms (fractional coordinates):
K 0.000 0.000 0.000
As 0.000 0.500 0.500
As 0.500 0.000 0.500
Rh 0.500 0.500 0.000



Stability, lowest: a)